# Nd3Sn2Pd9 PBE optimized geometry
data_Nd3Sn2Pd9
_chemical_formula_sum 'Nd3 Sn2 Pd9'
_cell_length_a 8.7228
_cell_length_b 8.7228
_cell_length_c 8.7228
_cell_angle_alpha 153.95
_cell_angle_beta 100.41
_cell_angle_gamma 85.46
_symmetry_space_group_name_H-M 'P 1'
_symmetry_Int_Tables_number 1
loop_
_symmetry_equiv_pos_as_xyz
'x,y,z'
loop_
_atom_site_label
_atom_site_type_symbol
_atom_site_fract_x
_atom_site_fract_y
_atom_site_fract_z
Nd1 Nd 0.0000 0.0000 0.0000
Nd2 Nd 0.2929 0.2929 0.0000
Nd3 Nd 0.7071 0.7071 0.0000
Sn1 Sn 0.3119 0.5000 0.8119
Sn2 Sn 0.6881 0.5000 0.1881
Pd1 Pd 0.0155 0.6372 0.3783
Pd2 Pd 0.1390 0.8416 0.2975
Pd3 Pd 0.2589 0.6372 0.6217
Pd4 Pd 0.4559 0.1584 0.2975
Pd5 Pd 0.5000 0.0000 0.5000
Pd6 Pd 0.5441 0.8416 0.7025
Pd7 Pd 0.7411 0.3628 0.3783
Pd8 Pd 0.8610 0.1584 0.7025
Pd9 Pd 0.9845 0.3628 0.6217
# Energy ... -5.60 eV/atom
# Energy of formation ... -0.671 eV per atom
# Space group ... No. 71
# Size of the total moment ... 0.00 Bohr magnetons per cell

=====

# NdSn4Pd8 PBE optimized geometry
data_NdSn4Pd8
_chemical_formula_sum 'Nd1 Sn4 Pd8'
_cell_length_a 7.3834
_cell_length_b 7.3834
_cell_length_c 7.3834
_cell_angle_alpha 60.00
_cell_angle_beta 60.00
_cell_angle_gamma 60.00
_symmetry_space_group_name_H-M 'P 1'
_symmetry_Int_Tables_number 1
loop_
_symmetry_equiv_pos_as_xyz
'x,y,z'
loop_
_atom_site_label
_atom_site_type_symbol
_atom_site_fract_x
_atom_site_fract_y
_atom_site_fract_z
Nd1 Nd 0.0000 0.0000 0.0000
Sn1 Sn 0.1877 0.6041 0.6041
Sn2 Sn 0.6041 0.1877 0.6041
Sn3 Sn 0.6041 0.6041 0.1877
Sn4 Sn 0.6041 0.6041 0.6041
Pd1 Pd 0.3493 0.3493 0.3493
Pd2 Pd 0.3493 0.3493 0.9522
Pd3 Pd 0.3493 0.9522 0.3493
Pd4 Pd 0.4526 0.8491 0.8491
Pd5 Pd 0.8491 0.4526 0.8491
Pd6 Pd 0.8491 0.8491 0.4526
Pd7 Pd 0.8491 0.8491 0.8491
Pd8 Pd 0.9522 0.3493 0.3493
# Energy ... -4.95 eV/atom
# Energy of formation ... -0.158 eV per atom
# Space group ... No. 216
# Size of the total moment ... 0.00 Bohr magnetons per cell

=====

# Nd4SnPd PBE optimized geometry
data_Nd4SnPd
_chemical_formula_sum 'Nd8 Sn2 Pd2'
_cell_length_a 10.8416
_cell_length_b 10.8416
_cell_length_c 6.5387
_cell_angle_alpha 90.00
_cell_angle_beta 90.00
_cell_angle_gamma 150.16
_symmetry_space_group_name_H-M 'P 1'
_symmetry_Int_Tables_number 1
loop_
_symmetry_equiv_pos_as_xyz
'x,y,z'
loop_
_atom_site_label
_atom_site_type_symbol
_atom_site_fract_x
_atom_site_fract_y
_atom_site_fract_z
Nd1 Nd 0.0530 0.9470 0.7500
Nd2 Nd 0.2036 0.7964 0.5064
Nd3 Nd 0.2036 0.7964 0.9936
Nd4 Nd 0.3925 0.6075 0.7500
Nd5 Nd 0.6075 0.3925 0.2500
Nd6 Nd 0.7964 0.2036 0.0064
Nd7 Nd 0.7964 0.2036 0.4936
Nd8 Nd 0.9470 0.0530 0.2500
Sn1 Sn 0.3489 0.6511 0.2500
Sn2 Sn 0.6511 0.3489 0.7500
Pd1 Pd 0.0815 0.9185 0.2500
Pd2 Pd 0.9185 0.0815 0.7500
# Energy ... -5.12 eV/atom
# Energy of formation ... -0.411 eV per atom
# Space group ... No. 63
# ΔE to the lowest computed polymorph ... 88.4 meV/atom
# Size of the total moment ... 0.00 Bohr magnetons per cell

=====

# NdSnPd2 PBE optimized geometry
data_NdSnPd2
_chemical_formula_sum 'Nd1 Sn1 Pd2'
_cell_length_a 3.5931
_cell_length_b 3.5931
_cell_length_c 6.6603
_cell_angle_alpha 90.00
_cell_angle_beta 90.00
_cell_angle_gamma 90.00
_symmetry_space_group_name_H-M 'P 1'
_symmetry_Int_Tables_number 1
loop_
_symmetry_equiv_pos_as_xyz
'x,y,z'
loop_
_atom_site_label
_atom_site_type_symbol
_atom_site_fract_x
_atom_site_fract_y
_atom_site_fract_z
Nd1 Nd 0.0000 0.0000 0.0000
Sn1 Sn 0.0000 0.0000 0.5000
Pd1 Pd 0.5000 0.5000 0.2701
Pd2 Pd 0.5000 0.5000 0.7299
# Energy ... -5.38 eV/atom
# Energy of formation ... -0.595 eV per atom
# Space group ... No. 123
# Size of the total moment ... 0.00 Bohr magnetons per cell